Record 1
# KSb2Rh, optimized geometry, DFT GGA-PBEsol
data_KSb2Rh
_space_group_name_H-M_alt 'P 1'
_space_group_IT_number 1
_space_group_name_Hall 'P 1'
_cell_length_a 3.6296
_cell_length_b 3.6296
_cell_length_c 7.8716
_cell_angle_alpha 90.00
_cell_angle_beta 90.00
_cell_angle_gamma 90.00
loop_
_atom_site_label
_atom_site_fract_x
_atom_site_fract_y
_atom_site_fract_z
_atom_site_occupancy
K1 0.0000 0.0000 0.0000 1
Sb1 0.0000 0.0000 0.4355 1
Sb2 0.5000 0.5000 0.6882 1
Rh1 0.5000 0.5000 0.3508 1
# - uncorrected energy (eV per atom) = -4.671
# - uncorrected formation energy (meV/atom) = -74.0
# - V (Å³ per atom) = 25.92
# - D(E_F) (states/eV/f.u.) = 3.04

Record 2
# Tl2P, optimized geometry, DFT GGA-PBEsol
data_Tl2P
_space_group_name_H-M_alt 'P 1'
_space_group_IT_number 1
_space_group_name_Hall 'P 1'
_cell_length_a 5.9981
_cell_length_b 5.9981
_cell_length_c 8.2931
_cell_angle_alpha 104.68
_cell_angle_beta 104.68
_cell_angle_gamma 31.62
loop_
_atom_site_label
_atom_site_fract_x
_atom_site_fract_y
_atom_site_fract_z
_atom_site_occupancy
Tl1 0.0000 0.0000 0.0000 1
Tl2 0.0638 0.0638 0.4142 1
Tl3 0.3591 0.3591 0.6215 1
Tl4 0.7688 0.7688 0.2373 1
P1 0.2418 0.2418 0.8927 1
P2 0.6266 0.6266 0.7588 1
# - uncorrected energy (eV per atom) = -3.616
# - ΔH_f (0 K) (eV/atom) = 0.068
# - V (Å³ per atom) = 25.15
# - D(E_F) (states/eV/f.u.) = 1.14

Record 3
# SeNClF2, optimized geometry, DFT GGA-PBEsol
data_SeNClF2
_space_group_name_H-M_alt 'P 1'
_space_group_IT_number 1
_space_group_name_Hall 'P 1'
_cell_length_a 4.8081
_cell_length_b 4.8081
_cell_length_c 3.2179
_cell_angle_alpha 90.00
_cell_angle_beta 90.00
_cell_angle_gamma 90.00
loop_
_atom_site_label
_atom_site_fract_x
_atom_site_fract_y
_atom_site_fract_z
_atom_site_occupancy
Se1 0.0000 0.0000 0.0000 1
N1 0.5000 0.5000 0.0000 1
Cl1 0.5000 0.5000 0.5000 1
F1 0.0000 0.5000 0.5000 1
F2 0.5000 0.0000 0.5000 1
# - uncorrected energy (eV per atom) = -2.812
# - uncorrected formation energy (meV/atom) = 835.9
# - V (Å³ per atom) = 14.88
# - D(E_F) (states/eV/f.u.) = 3.96

Record 4
# Ba3SrMo4O16, optimized geometry, DFT GGA-PBEsol
data_Ba3SrMo4O16
_space_group_name_H-M_alt 'P 1'
_space_group_IT_number 1
_space_group_name_Hall 'P 1'
_cell_length_a 5.5307
_cell_length_b 7.3854
_cell_length_c 10.7549
_cell_angle_alpha 96.16
_cell_angle_beta 104.87
_cell_angle_gamma 111.97
loop_
_atom_site_label
_atom_site_fract_x
_atom_site_fract_y
_atom_site_fract_z
_atom_site_occupancy
Ba1 0.0000 0.0000 0.0000 1
Ba2 0.1244 0.8783 0.3774 1
Ba3 0.6232 0.3760 0.8726 1
Sr1 0.4987 0.5033 0.4991 1
Mo1 0.2450 0.7464 0.7450 1
Mo2 0.3779 0.6231 0.1302 1
Mo3 0.7544 0.2579 0.2549 1
Mo4 0.8699 0.1316 0.6200 1
O1 0.0262 0.7438 0.5918 1
O2 0.0486 0.4866 0.3330 1
O3 0.0494 0.6902 0.8536 1
O4 0.0687 0.1338 0.7783 1
O5 0.0883 0.1930 0.5215 1
O6 0.0940 0.3903 0.0511 1
O7 0.2481 0.8055 0.1520 1
O8 0.3874 0.5728 0.7177 1
O9 0.5215 0.9839 0.8208 1
O10 0.5411 0.2097 0.3565 1
O11 0.5537 0.2622 0.0987 1
O12 0.5769 0.6182 0.2871 1
O13 0.5894 0.6795 0.0283 1
O14 0.5978 0.8910 0.5439 1
O15 0.7297 0.3089 0.6395 1
O16 0.8686 0.0679 0.2278 1
# - uncorrected energy (eV per atom) = -8.359
# - uncorrected formation energy (meV/atom) = -2552.4
# - V (Å³ per atom) = 15.98
# - D(E_F) (states/eV/f.u.) = 0.00

Record 5
# LiSmW2O8, optimized geometry, DFT GGA-PBEsol
data_LiSmW2O8
_space_group_name_H-M_alt 'P 1'
_space_group_IT_number 1
_space_group_name_Hall 'P 1'
_cell_length_a 7.0152
_cell_length_b 7.3101
_cell_length_c 7.3849
_cell_angle_alpha 114.29
_cell_angle_beta 115.49
_cell_angle_gamma 90.96
loop_
_atom_site_label
_atom_site_fract_x
_atom_site_fract_y
_atom_site_fract_z
_atom_site_occupancy
Li1 0.2408 0.3296 0.4930 1
Li2 0.7592 0.6704 0.5070 1
Sm1 0.3214 0.7122 0.0412 1
Sm2 0.6786 0.2878 0.9588 1
W1 0.1477 0.1027 0.7886 1
W2 0.2414 0.7049 0.4688 1
W3 0.7586 0.2951 0.5312 1
W4 0.8523 0.8973 0.2114 1
O1 0.0176 0.1726 0.4917 1
O2 0.0489 0.4611 0.2474 1
O3 0.1154 0.8269 0.2353 1
O4 0.2127 0.0044 0.9850 1
O5 0.3201 0.6389 0.6965 1
O6 0.3237 0.3603 0.9398 1
O7 0.3660 0.0101 0.6953 1
O8 0.4603 0.6899 0.3998 1
O9 0.5397 0.3101 0.6002 1
O10 0.6340 0.9899 0.3047 1
O11 0.6763 0.6397 0.0602 1
O12 0.6799 0.3611 0.3035 1
O13 0.7873 0.9956 0.0150 1
O14 0.8846 0.1731 0.7647 1
O15 0.9511 0.5389 0.7526 1
O16 0.9824 0.8274 0.5083 1
# - uncorrected energy (eV per atom) = -8.909
# - uncorrected formation energy (meV/atom) = -2520.3
# - V (Å³ per atom) = 12.62
# - D(E_F) (states/eV/f.u.) = 0.00

Record 6
# Tc2IrW, optimized geometry, DFT GGA-PBEsol
data_Tc2IrW
_space_group_name_H-M_alt 'P 1'
_space_group_IT_number 1
_space_group_name_Hall 'P 1'
_cell_length_a 2.7340
_cell_length_b 2.7340
_cell_length_c 7.7242
_cell_angle_alpha 90.00
_cell_angle_beta 90.00
_cell_angle_gamma 90.00
loop_
_atom_site_label
_atom_site_fract_x
_atom_site_fract_y
_atom_site_fract_z
_atom_site_occupancy
Tc1 0.0000 0.0000 0.0000 1
Tc2 0.5000 0.5000 0.2348 1
Ir1 0.5000 0.5000 0.7479 1
W1 0.0000 0.0000 0.4968 1
# - uncorrected energy (eV per atom) = -11.592
# - ΔH_f (0 K) (eV/atom) = -0.051
# - V (Å³ per atom) = 14.43
# - D(E_F) (states/eV/f.u.) = 2.92

Record 7
# KBe2Se, optimized geometry, DFT GGA-PBEsol
data_KBe2Se
_space_group_name_H-M_alt 'P 1'
_space_group_IT_number 1
_space_group_name_Hall 'P 1'
_cell_length_a 8.2357
_cell_length_b 8.2357
_cell_length_c 8.2357
_cell_angle_alpha 24.94
_cell_angle_beta 24.94
_cell_angle_gamma 24.94
loop_
_atom_site_label
_atom_site_fract_x
_atom_site_fract_y
_atom_site_fract_z
_atom_site_occupancy
K1 0.0000 0.0000 0.0000 1
Be1 0.2185 0.2185 0.2185 1
Be2 0.7815 0.7815 0.7815 1
Se1 0.5000 0.5000 0.5000 1
# - uncorrected energy (eV per atom) = -2.741
# - uncorrected formation energy (meV/atom) = 504.8
# - V (Å³ per atom) = 21.84
# - D(E_F) (states/eV/f.u.) = 2.20

Record 8
# CuSi2Rh, optimized geometry, DFT GGA-PBEsol
data_CuSi2Rh
_space_group_name_H-M_alt 'P 1'
_space_group_IT_number 1
_space_group_name_Hall 'P 1'
_cell_length_a 7.7349
_cell_length_b 7.7349
_cell_length_c 7.7349
_cell_angle_alpha 21.14
_cell_angle_beta 21.14
_cell_angle_gamma 21.14
loop_
_atom_site_label
_atom_site_fract_x
_atom_site_fract_y
_atom_site_fract_z
_atom_site_occupancy
Cu1 0.0000 0.0000 0.0000 1
Si1 0.2560 0.2560 0.2560 1
Si2 0.5023 0.5023 0.5023 1
Rh1 0.7606 0.7606 0.7606 1
# - uncorrected energy (eV per atom) = -6.115
# - uncorrected formation energy (meV/atom) = -123.4
# - V (Å³ per atom) = 13.18
# - D(E_F) (states/eV/f.u.) = 2.04

Record 9
# Li10SiP2O12, optimized geometry, DFT GGA-PBEsol
data_Li10SiP2O12
_space_group_name_H-M_alt 'P 1'
_space_group_IT_number 1
_space_group_name_Hall 'P 1'
_cell_length_a 6.6001
_cell_length_b 7.1282
_cell_length_c 10.2961
_cell_angle_alpha 90.47
_cell_angle_beta 90.57
_cell_angle_gamma 90.14
loop_
_atom_site_label
_atom_site_fract_x
_atom_site_fract_y
_atom_site_fract_z
_atom_site_occupancy
Li1 0.0000 0.0000 0.0000 1
Li2 0.0064 0.5635 0.7682 1
Li3 0.0602 0.9705 0.2465 1
Li4 0.2463 0.3054 0.5852 1
Li5 0.2674 0.6828 0.2615 1
Li6 0.2812 0.8064 0.7682 1
Li7 0.2994 0.2810 0.0843 1
Li8 0.4958 0.0080 0.6461 1
Li9 0.5039 0.9549 0.1532 1
Li10 0.5075 0.5545 0.7795 1
Li11 0.5135 0.3972 0.3998 1
Li12 0.5264 0.0468 0.4024 1
Li13 0.5563 0.5895 0.0707 1
Li14 0.5925 0.9928 0.9021 1
Li15 0.7403 0.6563 0.5813 1
Li16 0.7653 0.2954 0.8904 1
Li17 0.9751 0.3858 0.4021 1
Li18 0.9820 0.9537 0.7542 1
Li19 0.9851 0.5107 0.1267 1
Li20 0.9898 0.9873 0.4986 1
Si1 0.2462 0.7448 0.0003 1
Si2 0.7524 0.2539 0.6350 1
P1 0.2534 0.7245 0.5221 1
P2 0.2549 0.2412 0.8358 1
P3 0.7466 0.2253 0.1590 1
P4 0.7555 0.7200 0.3245 1
O1 0.0591 0.7699 0.8947 1
O2 0.0624 0.7490 0.6102 1
O3 0.0640 0.2321 0.9209 1
O4 0.2343 0.9258 0.1020 1
O5 0.2520 0.5350 0.4464 1
O6 0.2542 0.4236 0.7548 1
O7 0.2543 0.5519 0.0865 1
O8 0.2540 0.8907 0.4237 1
O9 0.2551 0.0706 0.7395 1
O10 0.4426 0.7405 0.6142 1
O11 0.4461 0.2345 0.9227 1
O12 0.4603 0.7505 0.9174 1
O13 0.5447 0.2278 0.5431 1
O14 0.5496 0.2118 0.2423 1
O15 0.5652 0.7255 0.2355 1
O16 0.7366 0.0785 0.7412 1
O17 0.7423 0.4017 0.0730 1
O18 0.7450 0.5449 0.4121 1
O19 0.7456 0.0471 0.0705 1
O20 0.7522 0.4531 0.7192 1
O21 0.7593 0.8961 0.4129 1
O22 0.9467 0.2323 0.2399 1
O23 0.9514 0.7126 0.2442 1
O24 0.9604 0.2344 0.5510 1
# - uncorrected energy (eV per atom) = -6.351
# - uncorrected formation energy (meV/atom) = -2351.0
# - V (Å³ per atom) = 9.69
# - D(E_F) (states/eV/f.u.) = 0.00

Record 10
# TcNiSe2, optimized geometry, DFT GGA-PBEsol
data_TcNiSe2
_space_group_name_H-M_alt 'P 1'
_space_group_IT_number 1
_space_group_name_Hall 'P 1'
_cell_length_a 7.9432
_cell_length_b 7.9432
_cell_length_c 7.9432
_cell_angle_alpha 22.67
_cell_angle_beta 22.67
_cell_angle_gamma 22.67
loop_
_atom_site_label
_atom_site_fract_x
_atom_site_fract_y
_atom_site_fract_z
_atom_site_occupancy
Tc1 0.0000 0.0000 0.0000 1
Ni1 0.5000 0.5000 0.5000 1
Se1 0.1007 0.1007 0.1007 1
Se2 0.8993 0.8993 0.8993 1
# - uncorrected energy (eV per atom) = -6.018
# - uncorrected formation energy (meV/atom) = 263.1
# - V (Å³ per atom) = 16.32
# - D(E_F) (states/eV/f.u.) = 3.59

The highest V belongs to which entry?
KSb2Rh

Please write out number 1 again, unchanged.
# KSb2Rh, optimized geometry, DFT GGA-PBEsol
data_KSb2Rh
_space_group_name_H-M_alt 'P 1'
_space_group_IT_number 1
_space_group_name_Hall 'P 1'
_cell_length_a 3.6296
_cell_length_b 3.6296
_cell_length_c 7.8716
_cell_angle_alpha 90.00
_cell_angle_beta 90.00
_cell_angle_gamma 90.00
loop_
_atom_site_label
_atom_site_fract_x
_atom_site_fract_y
_atom_site_fract_z
_atom_site_occupancy
K1 0.0000 0.0000 0.0000 1
Sb1 0.0000 0.0000 0.4355 1
Sb2 0.5000 0.5000 0.6882 1
Rh1 0.5000 0.5000 0.3508 1
# - uncorrected energy (eV per atom) = -4.671
# - uncorrected formation energy (meV/atom) = -74.0
# - V (Å³ per atom) = 25.92
# - D(E_F) (states/eV/f.u.) = 3.04

What did the seventh record say?
# KBe2Se, optimized geometry, DFT GGA-PBEsol
data_KBe2Se
_space_group_name_H-M_alt 'P 1'
_space_group_IT_number 1
_space_group_name_Hall 'P 1'
_cell_length_a 8.2357
_cell_length_b 8.2357
_cell_length_c 8.2357
_cell_angle_alpha 24.94
_cell_angle_beta 24.94
_cell_angle_gamma 24.94
loop_
_atom_site_label
_atom_site_fract_x
_atom_site_fract_y
_atom_site_fract_z
_atom_site_occupancy
K1 0.0000 0.0000 0.0000 1
Be1 0.2185 0.2185 0.2185 1
Be2 0.7815 0.7815 0.7815 1
Se1 0.5000 0.5000 0.5000 1
# - uncorrected energy (eV per atom) = -2.741
# - uncorrected formation energy (meV/atom) = 504.8
# - V (Å³ per atom) = 21.84
# - D(E_F) (states/eV/f.u.) = 2.20